# 1
NaTlBi3 (PBE-GGA, optimized geometry); formation energy from the elements = -46 kJ/mol of formula units; SG = No. 63
1.0
1.702 -16.687 0.000
1.702 16.687 0.000
0.000 0.000 5.614
Na Tl Bi
2 2 6
direct
0.220 0.780 0.750
0.780 0.220 0.250
0.077 0.923 0.250
0.923 0.077 0.750
0.320 0.680 0.750
0.371 0.629 0.250
0.474 0.526 0.250
0.526 0.474 0.750
0.629 0.371 0.750
0.680 0.320 0.250

# 2
CuAg2Ge (PBE-GGA, optimized geometry); formation energy from the elements = 139 kJ/mol of formula units; SG = No. 122
1.0
7.348 0.000 0.000
0.000 7.348 0.000
0.000 0.000 5.353
Cu Ag Ge
4 8 4
direct
0.000 0.000 0.000
0.000 0.500 0.250
0.500 0.000 0.750
0.500 0.500 0.500
0.240 0.250 0.125
0.250 0.740 0.375
0.250 0.760 0.875
0.260 0.250 0.625
0.740 0.750 0.625
0.750 0.240 0.875
0.750 0.260 0.375
0.760 0.750 0.125
0.000 0.000 0.500
0.000 0.500 0.750
0.500 0.000 0.250
0.500 0.500 0.000

# 3
NdGeS3 (PBE-GGA, optimized geometry); SG = No. 14; raw formation energy = -5.8 eV per formula unit
1.0
6.764 0.000 0.000
0.000 7.529 0.000
-6.267 0.000 9.234
Nd Ge S
4 4 12
direct
0.213 0.126 0.253
0.213 0.374 0.753
0.787 0.626 0.247
0.787 0.874 0.747
0.154 0.605 0.072
0.154 0.895 0.572
0.846 0.105 0.428
0.846 0.395 0.928
0.071 0.175 0.929
0.071 0.325 0.429
0.289 0.689 0.939
0.289 0.811 0.439
0.428 0.024 0.778
0.428 0.476 0.278
0.572 0.524 0.722
0.572 0.976 0.222
0.711 0.189 0.561
0.711 0.311 0.061
0.929 0.675 0.571
0.929 0.825 0.071

# 4
CsAuBr2Cl (PBE-GGA, optimized geometry); SG = No. 123; raw formation energy = -4.4 eV per formula unit
1.0
5.440 0.000 0.000
0.000 5.440 0.000
0.000 0.000 5.284
Cs Au Br Cl
1 1 2 1
direct
0.000 0.000 0.000
0.500 0.500 0.500
0.000 0.500 0.500
0.500 0.000 0.500
0.500 0.500 0.000

# 5
In2SbP (PBE-GGA, optimized geometry); SG = No. 216; raw formation energy = 1.2 eV per formula unit
1.0
7.282 0.000 0.000
0.000 7.282 0.000
0.000 0.000 7.282
In Sb P
8 4 4
direct
0.000 0.000 0.000
0.000 0.500 0.500
0.250 0.250 0.250
0.250 0.750 0.750
0.500 0.000 0.500
0.500 0.500 0.000
0.750 0.250 0.750
0.750 0.750 0.250
0.250 0.250 0.750
0.250 0.750 0.250
0.750 0.250 0.250
0.750 0.750 0.750
0.000 0.000 0.500
0.000 0.500 0.000
0.500 0.000 0.000
0.500 0.500 0.500

# 6
KZn2Os (PBE-GGA, optimized geometry); formation energy from the elements = 182 kJ/mol of formula units; SG = No. 12
1.0
8.865 0.000 0.000
0.000 2.689 0.000
-0.521 0.000 6.860
K Zn Os
2 4 2
direct
0.000 0.000 0.000
0.500 0.500 0.000
0.235 0.000 0.663
0.265 0.500 0.337
0.735 0.500 0.663
0.765 0.000 0.337
0.000 0.500 0.500
0.500 0.000 0.500

# 7
NaAg2RhCl6 (PBE-GGA, optimized geometry); SG = No. 148; raw formation energy = -7.6 eV per formula unit
1.0
3.380 1.951 6.026
-3.380 1.951 6.026
0.000 -3.903 6.026
Na Ag Rh Cl
1 2 1 6
direct
0.000 0.000 0.000
0.207 0.207 0.207
0.793 0.793 0.793
0.500 0.500 0.500
0.148 0.404 0.722
0.278 0.852 0.596
0.404 0.722 0.148
0.596 0.278 0.852
0.722 0.148 0.404
0.852 0.596 0.278

# 8
RbTcSe3 (PBE-GGA, optimized geometry); SG = No. 221; raw formation energy = -1.0 eV per formula unit
1.0
5.041 0.000 0.000
0.000 5.041 0.000
0.000 0.000 5.041
Rb Tc Se
1 1 3
direct
0.000 0.000 0.000
0.500 0.500 0.500
0.000 0.500 0.500
0.500 0.000 0.500
0.500 0.500 0.000

# 9
Pr4Zn2CdCu (PBE-GGA, optimized geometry); formation energy from the elements = -194 kJ/mol of formula units; SG = No. 166
1.0
2.646 1.527 8.615
-2.646 1.527 8.615
0.000 -3.055 8.615
Pr Zn Cd Cu
4 2 1 1
direct
0.119 0.119 0.119
0.370 0.370 0.370
0.630 0.630 0.630
0.881 0.881 0.881
0.245 0.245 0.245
0.755 0.755 0.755
0.500 0.500 0.500
0.000 0.000 0.000

# 10
Rb2BaMnS4 (PBE-GGA, optimized geometry); SG = No. 31; raw formation energy = -8.5 eV per formula unit
1.0
8.477 0.000 0.000
0.000 8.281 0.000
0.000 0.000 7.466
Rb Ba Mn S
4 2 2 8
direct
0.229 0.058 0.000
0.271 0.942 0.500
0.729 0.942 0.500
0.771 0.058 0.000
0.000 0.491 0.516
0.500 0.509 0.016
0.000 0.625 0.980
0.500 0.375 0.480
0.000 0.365 0.929
0.000 0.778 0.229
0.206 0.697 0.823
0.294 0.303 0.323
0.500 0.222 0.729
0.500 0.635 0.429
0.706 0.303 0.323
0.794 0.697 0.823

# 11
Cs3K6Li (PBE-GGA, optimized geometry); formation energy from the elements = 63 kJ/mol of formula units; SG = No. 11
1.0
14.185 0.000 0.000
0.000 6.603 0.000
-6.503 0.000 17.250
Cs K Li
6 12 2
direct
0.042 0.250 0.284
0.293 0.250 0.825
0.322 0.750 0.611
0.678 0.250 0.389
0.707 0.750 0.175
0.958 0.750 0.716
0.004 0.750 0.085
0.061 0.250 0.570
0.246 0.750 0.001
0.349 0.750 0.262
0.377 0.250 0.444
0.458 0.250 0.104
0.542 0.750 0.896
0.623 0.750 0.556
0.651 0.250 0.738
0.754 0.250 0.999
0.939 0.750 0.430
0.996 0.250 0.915
0.203 0.250 0.128
0.797 0.750 0.872

# 12
YMg2P2 (PBE-GGA, optimized geometry); formation energy from the elements = -288 kJ/mol of formula units; SG = No. 127
1.0
7.450 0.000 0.000
0.000 7.450 0.000
0.000 0.000 3.630
Y Mg P
2 4 4
direct
0.000 0.000 0.000
0.500 0.500 0.000
0.141 0.359 0.500
0.359 0.859 0.500
0.641 0.141 0.500
0.859 0.641 0.500
0.162 0.662 0.000
0.338 0.162 0.000
0.662 0.838 0.000
0.838 0.338 0.000